Record 1
A geometry-optimized LiFe2Cl structure. Source: Alexandria via LeMat-Bulk, functional GGA-PBE.

Cell: 4.278 4.278 4.278 Å, 60.00 60.00 60.00°
Last column: magnetic moment on the atom in μB.
Positions (direct):
1 Cl 0.500 0.500 0.500  0.12
2 Fe 0.000 0.000 0.000  2.80
3 Li 0.750 0.750 0.750  -0.01
4 Fe 0.250 0.250 0.250  2.44

Calculated values
space-group type = F-43m
ΔE_f (raw) = 1.93 eV/f.u.
energy above the most stable polymorph in this dataset = 664 meV per atom


Record 2
A geometry-optimized ZrBeCl structure. Source: Alexandria via LeMat-Bulk, functional GGA-PBE.

Cell: 4.395 4.395 3.181 Å, 90.00 90.00 120.00°
Positions (direct):
1 Be 0.000 0.000 0.000
2 Zr 0.333 0.667 0.500
3 Cl 0.667 0.333 0.500

Calculated values
space-group type = P-6m2
ΔE_f (raw) = 0.25 eV/f.u.
energy above the most stable polymorph in this dataset = 321 meV per atom


Record 3
A geometry-optimized LaSbBr2 structure. Source: Alexandria via LeMat-Bulk, functional GGA-PBE.

Cell: 7.575 7.575 5.139 Å, 82.62 82.62 32.23°
Positions (direct):
1 Br 0.596 0.596 0.452
2 Sb 0.750 0.750 0.750
3 Br 0.904 0.904 0.048
4 La 0.250 0.250 0.250

Calculated values
space-group type = C2/m
ΔE_f (raw) = -4.74 eV/f.u.
energy above the most stable polymorph in this dataset = 0 meV per atom


Record 4
A geometry-optimized Sr2Cd5In2 structure. Source: Alexandria via LeMat-Bulk, functional GGA-PBE.

Cell: 4.873 4.873 10.837 Å, 90.00 90.00 90.00°
Positions (direct):
1 Sr 0.000 0.000 0.500
2 Sr 0.000 0.000 0.000
3 In 0.500 0.500 0.131
4 Cd 0.500 0.000 0.280
5 Cd 0.500 0.500 0.500
6 In 0.500 0.500 0.869
7 Cd 0.500 0.000 0.720
8 Cd 0.000 0.500 0.720
9 Cd 0.000 0.500 0.280

Calculated values
space-group type = P4/mmm
energy of formation from the pure elements = -4.59 kcal/mol of atoms


Record 5
A geometry-optimized Os2PdPb structure. Source: Alexandria via LeMat-Bulk, functional GGA-PBE.

Cell: 5.920 5.920 7.175 Å, 65.63 65.63 90.00°
Positions (direct):
1 Os 0.582 0.125 0.250
2 Pd 0.250 0.750 0.500
3 Os 0.168 0.625 0.250
4 Os 0.375 0.418 0.750
5 Pb 0.750 0.250 0.500
6 Pb 0.000 0.000 0.000
7 Pd 0.500 0.500 0.000
8 Os 0.875 0.832 0.750

Calculated values
space-group type = I-42d
energy of formation from the pure elements = 44.21 kcal/mol of atoms


Record 6
A geometry-optimized Zr3Pt structure. Source: Alexandria via LeMat-Bulk, functional GGA-PBE.

Cell: 3.367 3.367 7.342 Å, 90.00 90.00 90.00°
Positions (direct):
1 Zr 0.500 0.500 0.774
2 Pt 0.000 0.000 0.000
3 Zr 0.000 0.000 0.500
4 Zr 0.500 0.500 0.226

Calculated values
space-group type = P4/mmm
energy of formation from the pure elements = -12.34 kcal/mol of atoms


Record 7
A geometry-optimized TcP2Pd structure. Source: Alexandria via LeMat-Bulk, functional GGA-PBE.

Cell: 4.290 4.290 4.290 Å, 60.00 60.00 60.00°
Last column: magnetic moment on the atom in μB.
Positions (direct):
1 Tc 0.000 0.000 0.000  0.99
2 P 0.750 0.750 0.750  0.04
3 Pd 0.500 0.500 0.500  0.31
4 P 0.250 0.250 0.250  0.04

Calculated values
space-group type = Fm-3m
energy of formation from the pure elements = 0.44 kcal/mol of atoms
energy above the most stable polymorph in this dataset = 252 meV per atom


Record 8
A geometry-optimized Zr4TaOs5 structure. Source: Alexandria via LeMat-Bulk, functional GGA-PBE.

Cell: 3.268 3.268 16.303 Å, 90.00 90.00 90.00°
Positions (direct):
1 Ta 0.000 0.000 0.000
2 Os 0.500 0.500 0.093
3 Os 0.500 0.500 0.907
4 Os 0.500 0.500 0.297
5 Os 0.500 0.500 0.500
6 Zr 0.000 0.000 0.802
7 Os 0.500 0.500 0.703
8 Zr 0.000 0.000 0.198
9 Zr 0.000 0.000 0.601
10 Zr 0.000 0.000 0.399

Calculated values
space-group type = P4/mmm
energy of formation from the pure elements = -10.57 kcal/mol of atoms


What DFT total energy values result from the calculations? In sequence: -18.8 -13.9 -17.1 -15.2 -47.4 -33.8 -26.3 -106.8 eV for the cell shown.
What Fermi-level density of states values result from the calculations? In sequence: 4.0 2.0 0.2 3.0 4.0 3.9 3.5 4.2 states/eV/f.u..